Density functional theory data (meta-GGA SCAN) for a crystal of Ta2Mo relaxed with PBEsol.

```
3
Lattice="-0.0838 2.6666 1.7824 1.1400 -1.6418 2.5099 4.0264 0.5493 -3.5204" Properties=species:S:1:pos:R:3 pbc="T T T"
Mo 0.0000 0.0000 0.0000
Ta 1.9834 0.8516 1.7070
Ta 3.0992 0.7225 -0.9351
```

* ΔE_f: -166 meV per atom
* symmetry: I4/mmm, No. 139
* density: 15.2 Mg/m³
* density of states at the Fermi level: 0.955 states/eV/atom



Density functional theory data (meta-GGA SCAN) for a crystal of TaMo4 relaxed with PBEsol.

```
5
Lattice="2.7475 0.0000 -0.0002 0.0000 4.4462 0.0000 -0.9097 -2.2231 6.4199" Properties=species:S:1:pos:R:3 pbc="T T T"
Mo 0.0146 0.0000 3.8390
Mo 0.9108 2.2231 5.1095
Mo 0.9270 0.0000 1.3102
Mo 1.8232 2.2231 2.5807
Ta 0.0000 2.2231 0.0000
```

* ΔE_f: -86 meV per atom
* symmetry: C2/m, No. 12
* density: 12.0 Mg/m³
* density of states at the Fermi level: 0.439 states/eV/atom